Pm3ErSc3 | GGA-PBE | relaxed

As for the crystal system: hexagonal. The calculation puts the energy relative to the lowest polymorph listed for this composition at 0.000 eV/atom. For the formation energy from the elements, the calculation gives 0.047 eV per atom. As for the total magnetic moment: 0.00 μB/f.u.

It has space group P6_3/m (No. 176), with a = 9.2997 Å, b = 9.2997 Å, c = 5.5388 Å, α = 90.00°, β = 90.00° and γ = 120.00°. The asymmetric unit holds Pm at (0.0489, 0.7998, 0.2500), Er at (0.3333, 0.6667, 0.2500) and Sc at (0.0966, 0.6121, 0.7500).